# NaBe2InCl6 PBE-GGA relaxed
data_NaBe2InCl6
_symmetry_space_group_name_H-M 'P 1'
_symmetry_Int_Tables_number 1
_symmetry_space_group_name_Hall 'P 1'
_cell_length_a 8.721
_cell_length_b 8.721
_cell_length_c 7.501
_cell_angle_alpha 104.11
_cell_angle_beta 104.11
_cell_angle_gamma 85.40
loop_
_atom_site_label
_atom_site_type_symbol
_atom_site_fract_x
_atom_site_fract_y
_atom_site_fract_z
Na1 Na 0.602 0.398 0.250
Na2 Na 0.398 0.602 0.750
Be1 Be 0.326 0.129 0.707
Be2 Be 0.871 0.674 0.793
Be3 Be 0.674 0.871 0.293
Be4 Be 0.129 0.326 0.207
In1 In 0.160 0.840 0.250
In2 In 0.840 0.160 0.750
Cl1 Cl 0.911 0.398 0.176
Cl2 Cl 0.602 0.089 0.324
Cl3 Cl 0.089 0.602 0.824
Cl4 Cl 0.398 0.911 0.676
Cl5 Cl 0.179 0.131 0.039
Cl6 Cl 0.869 0.821 0.461
Cl7 Cl 0.821 0.869 0.961
Cl8 Cl 0.131 0.179 0.539
Cl9 Cl 0.297 0.472 0.349
Cl10 Cl 0.528 0.703 0.151
Cl11 Cl 0.703 0.528 0.651
Cl12 Cl 0.472 0.297 0.849
# - E_form (uncorrected): -1.35 eV per atom
# - Calculated volume: 26.8 Å³ per atom
# - SG: C2/c

---

# BeInOs2Cl PBE-GGA relaxed
data_BeInOs2Cl
_symmetry_space_group_name_H-M 'P 1'
_symmetry_Int_Tables_number 1
_symmetry_space_group_name_Hall 'P 1'
_cell_length_a 4.621
_cell_length_b 3.730
_cell_length_c 4.621
_cell_angle_alpha 90.00
_cell_angle_beta 90.00
_cell_angle_gamma 90.00
loop_
_atom_site_label
_atom_site_type_symbol
_atom_site_fract_x
_atom_site_fract_y
_atom_site_fract_z
Be1 Be 0.000 0.500 0.000
Cl1 Cl 0.000 0.000 0.000
Os1 Os 0.000 0.000 0.500
Os2 Os 0.500 0.000 0.000
In1 In 0.500 0.500 0.500
# - E_form (uncorrected): 1.44 eV per atom
# - Calculated volume: 15.9 Å³ per atom
# - SG: P4/mmm

---

# BeInP2Cl PBE-GGA relaxed
data_BeInP2Cl
_symmetry_space_group_name_H-M 'P 1'
_symmetry_Int_Tables_number 1
_symmetry_space_group_name_Hall 'P 1'
_cell_length_a 4.190
_cell_length_b 4.190
_cell_length_c 5.851
_cell_angle_alpha 90.00
_cell_angle_beta 90.00
_cell_angle_gamma 90.00
loop_
_atom_site_label
_atom_site_type_symbol
_atom_site_fract_x
_atom_site_fract_y
_atom_site_fract_z
P1 P 0.000 0.500 0.000
P2 P 0.500 0.000 0.000
Cl1 Cl 0.000 0.000 0.500
Be1 Be 0.000 0.000 0.000
In1 In 0.500 0.500 0.500
# - E_form (uncorrected): 0.27 eV per atom
# - Energy relative to the lowest polymorph listed for this composition: 0.000 eV/atom
# - Calculated volume: 20.5 Å³ per atom
# - SG: P4/mmm

---

# BeInPCl2 PBE-GGA relaxed
data_BeInPCl2
_symmetry_space_group_name_H-M 'P 1'
_symmetry_Int_Tables_number 1
_symmetry_space_group_name_Hall 'P 1'
_cell_length_a 5.057
_cell_length_b 5.057
_cell_length_c 5.659
_cell_angle_alpha 90.00
_cell_angle_beta 90.00
_cell_angle_gamma 90.00
loop_
_atom_site_label
_atom_site_type_symbol
_atom_site_fract_x
_atom_site_fract_y
_atom_site_fract_z
P1 P 0.000 0.000 0.500
Cl1 Cl 0.000 0.500 0.000
Cl2 Cl 0.500 0.000 0.000
Be1 Be 0.500 0.500 0.500
In1 In 0.000 0.000 0.000
# - E_form (uncorrected): 0.56 eV per atom
# - Energy relative to the lowest polymorph listed for this composition: 0.763 eV/atom
# - Calculated volume: 28.9 Å³ per atom
# - SG: P4/mmm

---

# BeInP2Cl PBE-GGA relaxed
data_BeInP2Cl
_symmetry_space_group_name_H-M 'P 1'
_symmetry_Int_Tables_number 1
_symmetry_space_group_name_Hall 'P 1'
_cell_length_a 5.129
_cell_length_b 5.129
_cell_length_c 5.064
_cell_angle_alpha 90.00
_cell_angle_beta 90.00
_cell_angle_gamma 90.00
loop_
_atom_site_label
_atom_site_type_symbol
_atom_site_fract_x
_atom_site_fract_y
_atom_site_fract_z
P1 P 0.000 0.500 0.000
P2 P 0.500 0.000 0.000
Cl1 Cl 0.000 0.000 0.500
Be1 Be 0.500 0.500 0.500
In1 In 0.000 0.000 0.000
# - E_form (uncorrected): 1.17 eV per atom
# - Energy relative to the lowest polymorph listed for this composition: 0.904 eV/atom
# - Calculated volume: 26.6 Å³ per atom
# - SG: P4/mmm

---

# BeInPCl2 PBE-GGA relaxed
data_BeInPCl2
_symmetry_space_group_name_H-M 'P 1'
_symmetry_Int_Tables_number 1
_symmetry_space_group_name_Hall 'P 1'
_cell_length_a 4.303
_cell_length_b 4.303
_cell_length_c 5.275
_cell_angle_alpha 90.00
_cell_angle_beta 90.00
_cell_angle_gamma 90.00
loop_
_atom_site_label
_atom_site_type_symbol
_atom_site_fract_x
_atom_site_fract_y
_atom_site_fract_z
P1 P 0.000 0.000 0.500
Cl1 Cl 0.000 0.500 0.000
Cl2 Cl 0.500 0.000 0.000
Be1 Be 0.000 0.000 0.000
In1 In 0.500 0.500 0.500
# - E_form (uncorrected): -0.20 eV per atom
# - Energy relative to the lowest polymorph listed for this composition: 0.000 eV/atom
# - Calculated volume: 19.5 Å³ per atom
# - SG: P4/mmm

---

# BeInPd2Cl PBE-GGA relaxed
data_BeInPd2Cl
_symmetry_space_group_name_H-M 'P 1'
_symmetry_Int_Tables_number 1
_symmetry_space_group_name_Hall 'P 1'
_cell_length_a 4.524
_cell_length_b 5.705
_cell_length_c 4.524
_cell_angle_alpha 90.00
_cell_angle_beta 90.00
_cell_angle_gamma 90.00
loop_
_atom_site_label
_atom_site_type_symbol
_atom_site_fract_x
_atom_site_fract_y
_atom_site_fract_z
Be1 Be 0.500 0.500 0.500
Cl1 Cl 0.000 0.000 0.000
Pd1 Pd 0.000 0.000 0.500
Pd2 Pd 0.500 0.000 0.000
In1 In 0.000 0.500 0.000
# - E_form (uncorrected): 0.74 eV per atom
# - Calculated volume: 23.3 Å³ per atom
# - SG: P4/mmm

---

# Be2InReCl PBE-GGA relaxed
data_Be2InReCl
_symmetry_space_group_name_H-M 'P 1'
_symmetry_Int_Tables_number 1
_symmetry_space_group_name_Hall 'P 1'
_cell_length_a 3.974
_cell_length_b 5.226
_cell_length_c 3.974
_cell_angle_alpha 90.00
_cell_angle_beta 90.00
_cell_angle_gamma 90.00
loop_
_atom_site_label
_atom_site_type_symbol
_atom_site_fract_x
_atom_site_fract_y
_atom_site_fract_z
Re1 Re 0.500 0.500 0.500
Cl1 Cl 0.000 0.000 0.000
Be1 Be 0.000 0.000 0.500
Be2 Be 0.500 0.000 0.000
In1 In 0.000 0.500 0.000
# - E_form (uncorrected): 1.39 eV per atom
# - Calculated volume: 16.5 Å³ per atom
# - SG: P4/mmm